The following is a DFT calculation (PBE) of a geometry-optimized Er2Ga4Rh5 structure.

Properties
**VASP energy**: -6.001 eV/atom
**E_form**: -0.73 eV per atom
**ρ**: 9.43 Mg/m³
**N(E_F)**: 19.4 states/eV/cell
**Size of the total moment**: 0.00 μB per cell
**Calculated volume**: 18.1 A^3/atom

Cell: 5.692 9.415 14.823 Å, 90.00 90.00 90.00°
Space group Fmmm (No. 69)
Inequivalent atoms, fractional coordinates:
Er  0.000  0.000  0.120 (multiplicity 8)
Ga  0.000  0.157  0.369 (multiplicity 16)
Rh  0.000  0.000  0.500 (multiplicity 4)
Rh  0.250  0.250  0.000 (multiplicity 8)
Rh  0.250  0.250  0.250 (multiplicity 8)

The following is a DFT calculation (PBE) of a geometry-optimized Zr3Ni structure.

Properties
**VASP energy**: -7.866 eV/atom
**E_form**: -0.01 eV per atom
**ρ**: 7.04 Mg/m³
**N(E_F)**: 9.2 states/eV/cell
**Size of the total moment**: 0.00 μB per cell
**Calculated volume**: 19.6 A^3/atom

Cell: 4.934 5.779 5.501 Å, 90.00 90.00 90.00°
Space group Pmmn (No. 59, origin choice 2)
Inequivalent atoms, fractional coordinates:
Zr  0.250  0.000  0.122 (multiplicity 4)
Zr  0.250  0.250  0.599 (multiplicity 2)
Ni  0.250  0.750  0.666 (multiplicity 2)